1.
Material: Ca3CePa2As6
Method: DFT, PBE-GGA
State: optimized geometry

CIF file:
```
data_Ca3CePa2As6
_chemical_formula_sum 'Ca6 Ce2 Pa4 As12'
_space_group_name_H-M_alt 'C 1 2/m 1'
_space_group_IT_number 12
_space_group_name_Hall '-C 2y'
_cell_length_a 7.300
_cell_length_b 12.643
_cell_length_c 7.246
_cell_angle_alpha 90.00
_cell_angle_beta 109.64
_cell_angle_gamma 90.00
loop_
_atom_site_label
_atom_site_fract_x
_atom_site_fract_y
_atom_site_fract_z
Ca1 0.000 0.000 0.000
Ca2 0.000 0.336 0.000
Ce1 0.000 0.500 0.500
Pa1 0.000 0.167 0.500
As1 0.235 0.000 0.734
As2 0.250 0.171 0.266
```

Values from the calculation:
- DFT formation energy: -14.61 eV/f.u.

---

2.
Material: Pm2ThH6
Method: DFT, PBE-GGA
State: optimized geometry

CIF file:
```
data_Pm2ThH6
_chemical_formula_sum 'Pm4 Th2 H12'
_space_group_name_H-M_alt 'I 4/m m m'
_space_group_IT_number 139
_space_group_name_Hall '-I 4 2'
_cell_length_a 3.836
_cell_length_b 3.836
_cell_length_c 16.278
_cell_angle_alpha 90.00
_cell_angle_beta 90.00
_cell_angle_gamma 90.00
loop_
_atom_site_label
_atom_site_fract_x
_atom_site_fract_y
_atom_site_fract_z
Pm1 0.000 0.000 0.169
Th1 0.000 0.000 0.500
H1 0.000 0.500 0.084
H2 0.000 0.500 0.250
```

---

3.
Material: Pr8PRu3Br4
Method: DFT, PBE-GGA
State: optimized geometry

CIF file:
```
data_Pr8PRu3Br4
_chemical_formula_sum 'Pr24 P3 Ru9 Br12'
_space_group_name_H-M_alt 'R -3 m'
_space_group_IT_number 166
_space_group_name_Hall '-R 3 2"'
_cell_length_a 8.3656
_cell_length_b 8.3656
_cell_length_c 23.3564
_cell_angle_alpha 90.00
_cell_angle_beta 90.00
_cell_angle_gamma 120.00
loop_
_atom_site_label
_atom_site_fract_x
_atom_site_fract_y
_atom_site_fract_z
Pr1 0.0000 0.0000 0.2352
Pr2 0.0095 0.5048 0.7688
P1 0.0000 0.0000 0.5000
Ru1 0.0000 0.5000 0.5000
Br1 0.0000 0.0000 0.0000
Br2 0.0000 0.5000 0.0000
```

Values from the calculation:
- Formation energy from raw total energies: -928 meV per atom

---

4.
Material: CeGaAs
Method: DFT, PBE-GGA
State: optimized geometry

CIF file:
```
data_CeGaAs
_chemical_formula_sum 'Ce4 Ga4 As4'
_space_group_name_H-M_alt 'C m c m'
_space_group_IT_number 63
_space_group_name_Hall '-C 2c 2'
_cell_length_a 4.009
_cell_length_b 16.153
_cell_length_c 4.367
_cell_angle_alpha 90.00
_cell_angle_beta 90.00
_cell_angle_gamma 90.00
loop_
_atom_site_label
_atom_site_fract_x
_atom_site_fract_y
_atom_site_fract_z
Ce1 0.000 0.136 0.250
Ga1 0.000 0.470 0.250
As1 0.000 0.321 0.250
```

Values from the calculation:
- ΔE to the lowest computed polymorph: 0 meV per atom
- DFT formation energy: -2.56 eV/f.u.

---

5.
Material: NdHoPa
Method: DFT, PBE-GGA
State: optimized geometry

CIF file:
```
data_NdHoPa
_chemical_formula_sum 'Nd2 Ho2 Pa2'
_space_group_name_H-M_alt 'P 4/n m m'
_space_group_IT_number 129
_cell_length_a 4.662
_cell_length_b 4.662
_cell_length_c 8.554
_cell_angle_alpha 90.00
_cell_angle_beta 90.00
_cell_angle_gamma 90.00
loop_
_space_group_symop_operation_xyz
'x,y,z'
'-x,-y,-z'
'-y+1/2,x,z'
'y+1/2,-x,-z'
'-x+1/2,-y+1/2,z'
'x+1/2,y+1/2,-z'
'y,-x+1/2,z'
'-y,x+1/2,-z'
'x+1/2,-y,-z'
'-x+1/2,y,z'
'-y,-x,-z'
'y,x,z'
'-x,y+1/2,-z'
'x,-y+1/2,z'
'y+1/2,x+1/2,-z'
'-y+1/2,-x+1/2,z'
loop_
_atom_site_label
_atom_site_fract_x
_atom_site_fract_y
_atom_site_fract_z
Nd1 0.250 0.250 0.192
Ho1 0.250 0.250 0.779
Pa1 0.250 0.750 0.500
```

Values from the calculation:
- ΔE to the lowest computed polymorph: 133 meV per atom
- DFT formation energy: 0.86 eV/f.u.

---

6.
Material: AlPtW2N
Method: DFT, PBE-GGA
State: optimized geometry

CIF file:
```
data_AlPtW2N
_chemical_formula_sum 'Al1 Pt1 W2 N1'
_space_group_name_H-M_alt 'P 4/m m m'
_space_group_IT_number 123
_space_group_name_Hall '-P 4 2'
_cell_length_a 4.880
_cell_length_b 4.880
_cell_length_c 4.561
_cell_angle_alpha 90.00
_cell_angle_beta 90.00
_cell_angle_gamma 90.00
loop_
_atom_site_label
_atom_site_fract_x
_atom_site_fract_y
_atom_site_fract_z
Al1 0.000 0.000 0.000
Pt1 0.000 0.000 0.500
W1 0.000 0.500 0.500
N1 0.500 0.500 0.000
```

Values from the calculation:
- Formation energy from raw total energies: 2525 meV per atom

---

7.
Material: SrMoRh2
Method: DFT, PBE-GGA
State: optimized geometry

CIF file:
```
data_SrMoRh2
_chemical_formula_sum 'Sr2 Mo2 Rh4'
_space_group_name_H-M_alt 'I -4 m 2'
_space_group_IT_number 119
_space_group_name_Hall 'I -4 -2'
_cell_length_a 4.008
_cell_length_b 4.008
_cell_length_c 9.114
_cell_angle_alpha 90.00
_cell_angle_beta 90.00
_cell_angle_gamma 90.00
loop_
_atom_site_label
_atom_site_fract_x
_atom_site_fract_y
_atom_site_fract_z
Sr1 0.000 0.000 0.000
Mo1 0.000 0.500 0.750
Rh1 0.000 0.000 0.500
Rh2 0.000 0.500 0.250
```

Values from the calculation:
- ΔE to the lowest computed polymorph: 553 meV per atom
- DFT formation energy: 2.30 eV/f.u.

---

8.
Material: In2AgCl
Method: DFT, PBE-GGA
State: optimized geometry

CIF file:
```
data_In2AgCl
_chemical_formula_sum 'In2 Ag1 Cl1'
_space_group_name_H-M_alt 'P m m m'
_space_group_IT_number 47
_space_group_name_Hall '-P 2 2'
_cell_length_a 3.397
_cell_length_b 4.873
_cell_length_c 6.049
_cell_angle_alpha 90.00
_cell_angle_beta 90.00
_cell_angle_gamma 90.00
loop_
_atom_site_label
_atom_site_fract_x
_atom_site_fract_y
_atom_site_fract_z
In1 0.000 0.000 0.000
In2 0.500 0.000 0.500
Ag1 0.000 0.500 0.500
Cl1 0.500 0.500 0.000
```

Values from the calculation:
- ΔE to the lowest computed polymorph: 136 meV per atom
- Formation energy from raw total energies: -147 meV per atom

---

9.
Material: VCoW
Method: DFT, PBE-GGA
State: optimized geometry

CIF file:
```
data_VCoW
_chemical_formula_sum 'V4 Co4 W4'
_space_group_name_H-M_alt 'C m c m'
_space_group_IT_number 63
_space_group_name_Hall '-C 2c 2'
_cell_length_a 2.567
_cell_length_b 13.855
_cell_length_c 4.640
_cell_angle_alpha 90.00
_cell_angle_beta 90.00
_cell_angle_gamma 90.00
loop_
_atom_site_label
_atom_site_fract_x
_atom_site_fract_y
_atom_site_fract_z
V1 0.000 0.000 0.000
Co1 0.000 0.152 0.250
W1 0.000 0.325 0.250
```

Values from the calculation:
- ΔE to the lowest computed polymorph: 325 meV per atom
- DFT formation energy: 1.06 eV/f.u.

---

10.
Material: AlH3Pd5
Method: DFT, PBE-GGA
State: optimized geometry

CIF file:
```
data_AlH3Pd5
_chemical_formula_sum 'Al4 H12 Pd20'
_space_group_name_H-M_alt 'C 1 2/m 1'
_space_group_IT_number 12
_space_group_name_Hall '-C 2y'
_cell_length_a 9.894
_cell_length_b 5.873
_cell_length_c 8.356
_cell_angle_alpha 90.00
_cell_angle_beta 123.74
_cell_angle_gamma 90.00
loop_
_atom_site_label
_atom_site_fract_x
_atom_site_fract_y
_atom_site_fract_z
Al1 0.229 0.000 0.328
H1 0.000 0.000 0.000
H2 0.000 0.500 0.500
H3 0.031 0.500 0.843
H4 0.118 0.000 0.745
Pd1 0.000 0.275 0.000
Pd2 0.009 0.257 0.341
Pd3 0.244 0.000 0.026
Pd4 0.248 0.000 0.657
```

---

11.
Material: NaCu2Bi2
Method: DFT, PBE-GGA
State: optimized geometry

CIF file:
```
data_NaCu2Bi2
_chemical_formula_sum 'Na2 Cu4 Bi4'
_space_group_name_H-M_alt 'I 4/m m m'
_space_group_IT_number 139
_space_group_name_Hall '-I 4 2'
_cell_length_a 4.512
_cell_length_b 4.512
_cell_length_c 12.266
_cell_angle_alpha 90.00
_cell_angle_beta 90.00
_cell_angle_gamma 90.00
loop_
_atom_site_label
_atom_site_fract_x
_atom_site_fract_y
_atom_site_fract_z
Na1 0.000 0.000 0.000
Cu1 0.000 0.500 0.250
Bi1 0.000 0.000 0.372
```

Values from the calculation:
- ΔE to the lowest computed polymorph: 0 meV per atom
- DFT formation energy: 0.28 eV/f.u.

---

12.
Material: CoNiHg2
Method: DFT, PBE-GGA
State: optimized geometry

CIF file:
```
data_CoNiHg2
_chemical_formula_sum 'Co3 Ni3 Hg6'
_space_group_name_H-M_alt 'R -3 m'
_space_group_IT_number 166
_space_group_name_Hall '-R 3 2"'
_cell_length_a 2.9980
_cell_length_b 2.9980
_cell_length_c 25.5337
_cell_angle_alpha 90.00
_cell_angle_beta 90.00
_cell_angle_gamma 120.00
loop_
_atom_site_label
_atom_site_fract_x
_atom_site_fract_y
_atom_site_fract_z
Co1 0.0000 0.0000 0.0000
Ni1 0.0000 0.0000 0.5000
Hg1 0.0000 0.0000 0.2489
```

Values from the calculation:
- ΔE to the lowest computed polymorph: 150 meV per atom
- DFT formation energy: 1.83 eV/f.u.

---

13.
Material: InBi2
Method: DFT, PBE-GGA
State: optimized geometry

CIF file:
```
data_InBi2
_chemical_formula_sum 'In3 Bi6'
_space_group_name_H-M_alt 'R 3 m'
_space_group_IT_number 160
_space_group_name_Hall 'R 3 -2"'
_cell_length_a 3.4996
_cell_length_b 3.4996
_cell_length_c 26.6527
_cell_angle_alpha 90.00
_cell_angle_beta 90.00
_cell_angle_gamma 120.00
loop_
_atom_site_label
_atom_site_fract_x
_atom_site_fract_y
_atom_site_fract_z
In1 0.0000 0.0000 0.0000
Bi1 0.0000 0.0000 0.1169
Bi2 0.0000 0.0000 0.5680
```

Values from the calculation:
- DFT formation energy: 0.37 eV/f.u.

---

14.
Material: Cd2SbMo
Method: DFT, PBE-GGA
State: optimized geometry

CIF file:
```
data_Cd2SbMo
_chemical_formula_sum 'Cd4 Sb2 Mo2'
_space_group_name_H-M_alt 'I m m m'
_space_group_IT_number 71
_space_group_name_Hall '-I 2 2'
_cell_length_a 2.978
_cell_length_b 4.495
_cell_length_c 13.825
_cell_angle_alpha 90.00
_cell_angle_beta 90.00
_cell_angle_gamma 90.00
loop_
_atom_site_label
_atom_site_fract_x
_atom_site_fract_y
_atom_site_fract_z
Cd1 0.000 0.000 0.189
Sb1 0.000 0.500 0.000
Mo1 0.000 0.500 0.500
```

Values from the calculation:
- Formation energy from raw total energies: 278 meV per atom

---

15.
Material: Tb6Hg3Au
Method: DFT, PBE-GGA
State: optimized geometry

CIF file:
```
data_Tb6Hg3Au
_chemical_formula_sum 'Tb12 Hg6 Au2'
_space_group_name_H-M_alt 'P 1 21/m 1'
_space_group_IT_number 11
_space_group_name_Hall '-P 2yb'
_cell_length_a 9.619
_cell_length_b 5.091
_cell_length_c 11.752
_cell_angle_alpha 90.00
_cell_angle_beta 109.76
_cell_angle_gamma 90.00
loop_
_atom_site_label
_atom_site_fract_x
_atom_site_fract_y
_atom_site_fract_z
Tb1 0.020 0.250 0.399
Tb2 0.155 0.750 0.194
Tb3 0.236 0.250 0.015
Tb4 0.371 0.250 0.634
Tb5 0.377 0.750 0.856
Tb6 0.385 0.250 0.353
Hg1 0.037 0.750 0.881
Hg2 0.131 0.250 0.735
Hg3 0.268 0.750 0.477
Au1 0.418 0.750 0.123
```

Values from the calculation:
- DFT formation energy: -4.32 eV/f.u.

---

16.
Material: Ni4PbBr
Method: DFT, PBE-GGA
State: optimized geometry

CIF file:
```
data_Ni4PbBr
_chemical_formula_sum 'Ni16 Pb4 Br4'
_space_group_name_H-M_alt 'F -4 3 m'
_space_group_IT_number 216
_space_group_name_Hall 'F -4 2 3'
_cell_length_a 7.212
_cell_length_b 7.212
_cell_length_c 7.212
_cell_angle_alpha 90.00
_cell_angle_beta 90.00
_cell_angle_gamma 90.00
loop_
_atom_site_label
_atom_site_fract_x
_atom_site_fract_y
_atom_site_fract_z
Ni1 0.124 0.124 0.376
Pb1 0.250 0.250 0.750
Br1 0.000 0.000 0.000
```

Values from the calculation:
- Formation energy from raw total energies: 463 meV per atom

---

17.
Material: CdPb2W
Method: DFT, PBE-GGA
State: optimized geometry

CIF file:
```
data_CdPb2W
_chemical_formula_sum 'Cd2 Pb4 W2'
_space_group_name_H-M_alt 'C 1 2/m 1'
_space_group_IT_number 12
_space_group_name_Hall '-C 2y'
_cell_length_a 6.610
_cell_length_b 10.082
_cell_length_c 3.145
_cell_angle_alpha 90.00
_cell_angle_beta 117.06
_cell_angle_gamma 90.00
loop_
_atom_site_label
_atom_site_fract_x
_atom_site_fract_y
_atom_site_fract_z
Cd1 0.000 0.000 0.000
Pb1 0.250 0.250 0.500
W1 0.000 0.500 0.000
```

Values from the calculation:
- DFT formation energy: 3.70 eV/f.u.

---

18.
Material: ScMnCoB2
Method: DFT, PBE-GGA
State: optimized geometry

CIF file:
```
data_ScMnCoB2
_chemical_formula_sum 'Sc2 Mn2 Co2 B4'
_space_group_name_H-M_alt 'I -4 m 2'
_space_group_IT_number 119
_space_group_name_Hall 'I -4 -2'
_cell_length_a 3.432
_cell_length_b 3.432
_cell_length_c 8.892
_cell_angle_alpha 90.00
_cell_angle_beta 90.00
_cell_angle_gamma 90.00
loop_
_atom_site_label
_atom_site_fract_x
_atom_site_fract_y
_atom_site_fract_z
Sc1 0.000 0.000 0.000
Mn1 0.000 0.500 0.750
Co1 0.000 0.500 0.250
B1 0.000 0.000 0.394
```

Values from the calculation:
- DFT formation energy: -2.68 eV/f.u.

---

19.
Material: KSrHg5
Method: DFT, PBE-GGA
State: optimized geometry

CIF file:
```
data_KSrHg5
_chemical_formula_sum 'K2 Sr2 Hg10'
_space_group_name_H-M_alt 'C m m m'
_space_group_IT_number 65
_space_group_name_Hall '-C 2 2'
_cell_length_a 6.699
_cell_length_b 10.062
_cell_length_c 6.762
_cell_angle_alpha 90.00
_cell_angle_beta 90.00
_cell_angle_gamma 90.00
loop_
_atom_site_label
_atom_site_fract_x
_atom_site_fract_y
_atom_site_fract_z
K1 0.000 0.000 0.000
Sr1 0.000 0.500 0.500
Hg1 0.000 0.000 0.500
Hg2 0.250 0.250 0.245
```

Values from the calculation:
- DFT formation energy: -1.74 eV/f.u.

---

20.
Material: YSiIN2
Method: DFT, PBE-GGA
State: optimized geometry

CIF file:
```
data_YSiIN2
_chemical_formula_sum 'Y1 Si1 I1 N2'
_space_group_name_H-M_alt 'P 4/m m m'
_space_group_IT_number 123
_space_group_name_Hall '-P 4 2'
_cell_length_a 4.391
_cell_length_b 4.391
_cell_length_c 6.138
_cell_angle_alpha 90.00
_cell_angle_beta 90.00
_cell_angle_gamma 90.00
loop_
_atom_site_label
_atom_site_fract_x
_atom_site_fract_y
_atom_site_fract_z
Y1 0.000 0.000 0.000
Si1 0.500 0.500 0.500
I1 0.000 0.000 0.500
N1 0.000 0.500 0.000
```

Values from the calculation:
- ΔE to the lowest computed polymorph: 500 meV per atom
- Formation energy from raw total energies: 1032 meV per atom

---

no.,total DFT energy (no corrections) (eV/atom),mass density (g cm⁻³),total moment (μB per formula unit)
1,-6.120,6.179,1.607
2,-4.735,7.321,0.000
3,-5.814,6.268,0.000
4,-5.389,6.688,0.755
5,-5.995,9.649,0.000
6,-6.278,9.229,2.190
7,-6.230,8.834,0.000
8,-2.690,6.185,0.000
9,-9.373,11.824,0.000
10,-4.663,9.246,0.000
11,-3.399,7.556,0.000
12,-2.915,13.004,1.849
13,-3.377,9.389,0.000
14,-3.918,7.941,0.000
15,-3.629,10.743,0.000
16,-4.288,9.241,2.622
17,-4.396,12.646,0.000
18,-7.729,5.721,2.071
19,-0.861,8.232,0.000
20,-4.986,3.815,0.001